No. 1
{
  "formula": "HfSi3Se",
  "functional": "PBE",
  "state": "optimized geometry",
  "final_energy_ev_per_atom": -4.97,
  "de_polymorph_mev_per_atom": 0,
  "spacegroup": "No. 221",
  "cell": [[4.6948, 0.0000, 0.0000], [0.0000, 4.6948, 0.0000], [0.0000, 0.0000, 4.6948]],
  "species": ["Hf", "Si", "Si", "Si", "Se"],
  "frac_coords": [[0.0000, 0.0000, 0.0000], [0.0000, 0.5000, 0.5000], [0.5000, 0.0000, 0.5000], [0.5000, 0.5000, 0.0000], [0.5000, 0.5000, 0.5000]]
}

No. 2
{
  "formula": "Hf2SiSe",
  "functional": "PBE",
  "state": "optimized geometry",
  "final_energy_ev_per_atom": -7.71,
  "de_polymorph_mev_per_atom": 348,
  "spacegroup": "No. 225",
  "cell": [[0.0000, 3.3280, 3.3280], [3.3280, 0.0000, 3.3280], [3.3280, 3.3280, 0.0000]],
  "species": ["Hf", "Hf", "Si", "Se"],
  "frac_coords": [[0.2500, 0.2500, 0.2500], [0.7500, 0.7500, 0.7500], [0.0000, 0.0000, 0.0000], [0.5000, 0.5000, 0.5000]]
}

No. 3
{
  "formula": "Hf2Si2Se",
  "functional": "PBE",
  "state": "optimized geometry",
  "final_energy_ev_per_atom": -7.45,
  "spacegroup": "No. 127",
  "cell": [[7.1847, 0.0000, 0.0000], [0.0000, 7.1847, 0.0000], [0.0000, 0.0000, 3.6539]],
  "species": ["Hf", "Hf", "Hf", "Hf", "Si", "Si", "Si", "Si", "Se", "Se"],
  "frac_coords": [[0.1762, 0.3238, 0.0000], [0.3238, 0.8238, 0.0000], [0.6762, 0.1762, 0.0000], [0.8238, 0.6762, 0.0000], [0.1166, 0.6166, 0.5000], [0.3834, 0.1166, 0.5000], [0.6166, 0.8834, 0.5000], [0.8834, 0.3834, 0.5000], [0.0000, 0.0000, 0.0000], [0.5000, 0.5000, 0.0000]]
}

| no. | calculated volume (Å³/cell) | formation energy from raw total energies (eV per atom) |
| --- | --- | --- |
| 1 | 103 | 0.973 |
| 2 | 74 | -0.510 |
| 3 | 189 | -0.605 |